# 1
DFT (PBE-GGA) results for a geometry-optimized LiMg2SiRh structure.

Properties
Final energy in eV per atom: -3.1162
Size of the total moment in μB per cell: 0.00
DOS at the Fermi energy in states/eV/cell: 1.87
ρ in g/cm³: 3.716

```
LiMg2SiRh
1.0
4.466 0.000 0.000
0.000 4.180 0.000
0.000 0.000 4.466
Mg Si Li Rh
2 1 1 1
Direct
0.000 0.000 0.500 Mg
0.500 0.000 0.000 Mg
0.000 0.500 0.000 Si
0.000 0.000 0.000 Li
0.500 0.500 0.500 Rh
```

***

# 2
DFT (PBE-GGA) results for a geometry-optimized Dy3Ga9Ir2 structure.

Properties
Size of the total moment in μB per cell: 0.00
DOS at the Fermi energy in states/eV/cell: 3.61
ρ in g/cm³: 9.880
Formation energy in meV/atom: -620.1

```
Dy3Ga9Ir2
1.0
-3.225 2.804 -0.043
-3.593 -0.765 7.221
2.441 6.137 4.693
Ga Dy Ir
9 3 2
Direct
0.134 0.148 0.584 Ga
0.866 0.416 0.852 Ga
0.866 0.852 0.416 Ga
0.655 0.981 0.710 Ga
0.134 0.584 0.148 Ga
0.345 0.019 0.290 Ga
0.000 0.500 0.500 Ga
0.345 0.290 0.019 Ga
0.655 0.710 0.981 Ga
0.701 0.299 0.299 Dy
0.000 0.000 0.000 Dy
0.299 0.701 0.701 Dy
0.500 0.322 0.678 Ir
0.500 0.678 0.322 Ir
```

***

# 3
DFT (PBE-GGA) results for a geometry-optimized KScIn2 structure.

Properties
Energy relative to the lowest polymorph listed for this composition in eV/atom: 0.313
Size of the total moment in μB per cell: 0.00
DOS at the Fermi energy in states/eV/cell: 3.02
ρ in g/cm³: 4.448
Formation energy in meV/atom: 116.2

```
KScIn2
1.0
-2.309 -0.529 2.310
-0.791 -6.737 -2.334
3.029 -5.448 1.779
In Sc K
2 1 1
Direct
0.500 0.500 0.000 In
0.000 0.000 0.000 In
0.000 0.000 0.500 Sc
0.500 0.500 0.500 K
```

***

# 4
DFT (PBE-GGA) results for a geometry-optimized FeAs3 structure.

Properties
Energy relative to the lowest polymorph listed for this composition in eV/atom: 0.517
Size of the total moment in μB per cell: 1.77
DOS at the Fermi energy in states/eV/cell: 4.31
ρ in g/cm³: 4.696
Formation energy in meV/atom: 563.3

```
FeAs3
1.0
4.630 0.000 0.000
0.000 4.630 0.000
0.000 0.000 4.630
As Fe
3 1
Direct
0.000 0.000 0.500 As
0.000 0.500 0.000 As
0.500 0.000 0.000 As
0.000 0.000 0.000 Fe
```